Density functional theory data (PBE) for TmH8Ir2Au after structural relaxation.

a = 4.8453 Å, b = 4.8453 Å, c = 6.0358 Å
α = 107.09°, β = 107.09°, γ = 50.73°
Closest atoms and distances in Å follow each position.
Atoms (fractional coordinates):
Tm: 0.0000 0.0000 0.0000  10 H 2.25-2.43
H: 0.0745 0.5562 0.1588  1 Ir 1.62
H: 0.2120 0.2120 0.3780  1 Ir 1.74
H: 0.4162 0.4162 0.8774  1 Ir 1.67, 1 H 1.71
H: 0.4438 0.9255 0.8412  1 Ir 1.62
H: 0.5562 0.0745 0.1588  1 Ir 1.62
H: 0.5838 0.5838 0.1226  1 Ir 1.67, 1 H 1.71
H: 0.7880 0.7880 0.6220  1 Ir 1.74
H: 0.9255 0.4438 0.8412  1 Ir 1.62
Ir: 0.2328 0.2328 0.6741  4 H 1.62-1.74
Ir: 0.7672 0.7672 0.3259  4 H 1.62-1.74
Au: 0.5000 0.5000 0.5000  8 H 2.39-2.61

Results
SG: No. 12
E (Ry/atom): -0.326
Crystal system: monoclinic